(1)
An optimized crystal structure of TaSiSe2. Source: Alexandria, functional PBE.

a = 3.305 Å, b = 4.170 Å, c = 5.285 Å
α = 90.00°, β = 90.00°, γ = 90.00°
Fractional positions:
Ta 0.000 0.000 0.000
Si 0.500 0.000 0.500
Se 0.000 0.500 0.500
Se 0.500 0.500 0.000

The calculation puts the energy relative to the elements, uncorrected at 0.3503 eV per atom.

(2)
An optimized crystal structure of PmBeFe2Si2. Source: Alexandria, functional PBE.

a = 4.004 Å, b = 4.004 Å, c = 5.284 Å
α = 90.00°, β = 90.00°, γ = 90.00°
Fractional positions:
Pm 0.000 0.000 0.000
Be 0.000 0.000 0.500
Fe 0.000 0.500 0.500
Fe 0.500 0.000 0.500
Si 0.500 0.500 0.250
Si 0.500 0.500 0.750

The calculation puts the energy relative to the elements, uncorrected at -0.4134 eV per atom.

What is the energy relative to the elements, uncorrected in the first record? 0.3503 eV per atom